[1]
Computed, not measured: a geometry-optimized CaHg3Ru structure at the PBEsol level of DFT.

Computed properties:
The calculated volume is 26.8 Å³/atom. The value obtained for the relative energy among the computed polymorphs is 0 meV per atom. The theoretical density comes out at 9.2 Mg/m³. Its formation energy is 0.181 eV per atom. As for the symmetry: Pm-3m. As for the calculated total energy: -2.620 eV/atom.

a b c (Å): 5.1156 5.1156 5.1156
angles (deg): 90.00 90.00 90.00
Closest atoms and distances in Å follow each position.
Element x y z (fractional)
Ca (0.0000, 0.0000, 0.0000)  12 Hg 3.62
Hg (0.0000, 0.5000, 0.5000)  2 Ru 2.56
Hg (0.5000, 0.0000, 0.5000)  2 Ru 2.56
Hg (0.5000, 0.5000, 0.0000)  2 Ru 2.56
Ru (0.5000, 0.5000, 0.5000)  6 Hg 2.56

---

[2]
Computed, not measured: a geometry-optimized Ca2HgRu structure at the PBEsol level of DFT.

Computed properties:
The calculated volume is 23.8 Å³/atom. The theoretical density comes out at 6.7 Mg/m³. Its formation energy is 0.003 eV per atom. As for the symmetry: Amm2. As for the calculated total energy: -3.748 eV/atom.

a b c (Å): 4.5079 5.8284 5.8284
angles (deg): 38.36 90.00 90.00
Closest atoms and distances in Å follow each position.
Element x y z (fractional)
Ca (0.0000, 0.0000, 0.0000)  3 Hg 3.05-3.13, 4 Ru 3.08
Ca (0.5000, 0.2940, 0.2940)  3 Ru 3.07-3.11, 4 Hg 3.08
Hg (0.0000, 0.7157, 0.7157)  2 Ru 2.73, 2 Ca 3.05
Ru (0.5000, 0.5765, 0.5765)  2 Hg 2.73

---

[3]
Computed, not measured: a geometry-optimized Ca2HgRu structure at the PBEsol level of DFT.

Computed properties:
The calculated volume is 22.4 Å³/atom. The theoretical density comes out at 7.1 Mg/m³. Its formation energy is 0.037 eV per atom. As for the symmetry: Cm. As for the calculated total energy: -3.715 eV/atom.

a b c (Å): 5.9620 5.9620 4.8823
angles (deg): 113.77 113.77 34.78
Closest atoms and distances in Å follow each position.
Element x y z (fractional)
Ca (0.0000, 0.0000, 0.0000)  4 Ru 3.03-3.04, 2 Ca 3.24-3.25, 3 Hg 3.33-3.36
Ca (0.2075, 0.2075, 0.7048)  2 Ru 3.01, 4 Hg 3.09-3.10, 2 Ca 3.24-3.25
Hg (0.7723, 0.7723, 0.2693)  2 Ru 2.73
Ru (0.4725, 0.4725, 0.4736)  2 Hg 2.73, 6 Ca 3.01-3.04

---

[4]
Computed, not measured: a geometry-optimized CaHgRu2 structure at the PBEsol level of DFT.

Computed properties:
The calculated volume is 17.1 Å³/atom. The theoretical density comes out at 10.7 Mg/m³. Its formation energy is 0.475 eV per atom. As for the symmetry: P4/mmm. As for the calculated total energy: -5.286 eV/atom.

a b c (Å): 4.0113 4.0113 4.2551
angles (deg): 90.00 90.00 90.00
Closest atoms and distances in Å follow each position.
Element x y z (fractional)
Ca (0.0000, 0.0000, 0.0000)  4 Hg 2.84, 8 Ru 2.92
Hg (0.5000, 0.5000, 0.0000)  4 Ca 2.84, 8 Ru 2.92
Ru (0.0000, 0.5000, 0.5000)  4 Ru 2.84, 4 Hg 2.92, 4 Ca 2.92
Ru (0.5000, 0.0000, 0.5000)  4 Ru 2.84, 4 Hg 2.92, 4 Ca 2.92